# DyPaMn2

DyPaMn2 after structural relaxation (PBE, Alexandria via LeMat-Bulk).

As for the calculated density: 10.68 g/cm3. The energy of formation is 0.08 eV per atom. Its energy above the most stable polymorph in this dataset is 0.10 eV per formula unit.

Cell lengths 3.3626, 3.3626, 6.9248 Å; angles 90.00, 90.00, 90.00 degrees
With the nearest neighbours (Å) after each atom.
Positions (direct):
Pa  0.5000  0.5000  0.0000  8 Mn 2.76
Mn  0.0000  0.0000  0.7966  4 Pa 2.76, 1 Mn 2.82
Mn  0.0000  0.0000  0.2034  4 Pa 2.76, 1 Mn 2.82
Dy  0.5000  0.5000  0.5000  8 Mn 3.14, 4 Dy 3.36, 2 Pa 3.46